Entry 1:
Material: MnMoS2
Method: DFT, PBE
State: optimized geometry

POSCAR file:
```
MnMoS2
1.0
-4.2292 3.1925 0.3474
-3.1044 -4.2114 0.9089
-2.9187 -0.0355 5.3796
S Mn Mo
4 2 2
Direct
0.5963 0.1250 0.2500
0.3750 0.4037 0.7500
0.1537 0.6250 0.2500
0.8750 0.8463 0.7500
0.2500 0.7500 0.5000
0.5000 0.5000 0.0000
0.7500 0.2500 0.5000
0.0000 0.0000 0.0000
```

## Properties
The space group is No. 122. As for the energy: -57.62 eV per cell. The crystal system is tetragonal. The value obtained for the excess energy over the best structure of this formula in the dataset is 109.5 meV per atom. The value obtained for the total moment is 0.05 μB per atom.

Entry 2:
Material: V3CuRh4
Method: DFT, PBE
State: optimized geometry

POSCAR file:
```
V3CuRh4
1.0
4.5359 0.0000 0.0000
0.0000 5.5294 0.0000
0.0000 0.0000 8.6709
Rh V Cu
8 6 2
Direct
0.8733 0.7465 0.2500
0.1267 0.7465 0.7500
0.5000 0.2483 0.0000
0.5000 0.7517 0.0000
0.1267 0.2535 0.7500
0.5000 0.7517 0.5000
0.5000 0.2483 0.5000
0.8733 0.2535 0.2500
0.0000 0.0000 0.5000
0.6313 0.0000 0.7500
0.0000 0.0000 0.0000
0.3515 0.5000 0.2500
0.6485 0.5000 0.7500
0.3687 0.0000 0.2500
0.0000 0.5000 0.0000
0.0000 0.5000 0.5000
```

## Properties
The space group is No. 51. As for the energy: -126.65 eV per cell. The crystal system is orthorhombic. The value obtained for the total moment is 0.00 μB per atom.

Entry 3:
Material: Na2CaHgO4
Method: DFT, PBE
State: optimized geometry

POSCAR file:
```
Na2CaHgO4
1.0
-2.0429 2.7959 0.1413
-1.3739 -0.7254 -5.5097
-3.8506 -2.9791 3.2744
Hg O Ca Na
1 4 1 2
Direct
0.0000 0.0000 0.0000
0.0000 0.2344 0.7904
0.5000 0.7534 0.7581
0.5000 0.2466 0.2419
0.0000 0.7656 0.2096
0.5000 0.5000 0.0000
0.5000 0.0000 0.5000
0.0000 0.5000 0.5000
```

## Properties
The space group is No. 10. As for the energy: -35.01 eV per cell. The crystal system is monoclinic. The value obtained for the total moment is 0.00 μB per atom.

Entry 4:
Material: LiAu5
Method: DFT, PBE
State: optimized geometry

POSCAR file:
```
LiAu5
1.0
-2.6987 0.3648 -1.0165
-1.7106 -2.6298 3.5975
0.6088 6.0465 4.7095
Li Au
1 5
Direct
0.1115 0.5000 0.2230
0.4510 0.5000 0.9019
0.0019 0.0000 0.0038
0.7725 0.5000 0.5450
0.3321 0.0000 0.6642
0.6644 0.0000 0.3287
```

## Properties
The space group is No. 38. As for the energy: -19.53 eV per cell. The crystal system is orthorhombic. The value obtained for the excess energy over the best structure of this formula in the dataset is 35.6 meV per atom. The value obtained for the total moment is 0.00 μB per atom.

Entry 5:
Material: LiAl5Ru4
Method: DFT, PBE
State: optimized geometry

POSCAR file:
```
LiAl5Ru4
1.0
-1.5086 -0.9199 -2.4898
1.3127 -2.7477 0.2199
-11.2307 -4.6824 8.5348
Ru Al Li
4 5 1
Direct
0.0000 0.0000 0.8018
0.0000 0.0000 0.4009
0.0000 0.0000 0.1982
0.0000 0.0000 0.5991
0.5000 0.5000 0.3014
0.5000 0.5000 0.5000
0.5000 0.5000 0.6986
0.5000 0.5000 0.1106
0.5000 0.5000 0.8894
0.0000 0.0000 0.0000
```

## Properties
The space group is No. 123. As for the energy: -63.59 eV per cell. The crystal system is tetragonal. The value obtained for the total moment is 0.00 μB per atom.

Entry 6:
Material: Cs12AgAu6
Method: DFT, PBE
State: optimized geometry

POSCAR file:
```
Cs12AgAu6
1.0
10.5618 0.0000 -3.7342
-5.2809 9.1468 -3.7342
0.0000 0.0000 11.2025
Cs Au Ag
12 6 1
Direct
0.1783 0.6879 0.8663
0.3121 0.1337 0.8217
0.8663 0.1783 0.6879
0.8217 0.3121 0.1337
0.8217 0.6879 0.5096
0.5096 0.8217 0.6879
0.1337 0.8217 0.3121
0.1783 0.3121 0.4904
0.6879 0.8663 0.1783
0.3121 0.4904 0.1783
0.4904 0.1783 0.3121
0.6879 0.5096 0.8217
0.3873 0.5000 0.8873
0.6127 0.5000 0.1127
0.1127 0.6127 0.5000
0.8873 0.3873 0.5000
0.5000 0.8873 0.3873
0.5000 0.1127 0.6127
0.0000 0.0000 0.0000
```

## Properties
The space group is No. 204. As for the energy: -36.56 eV per cell. The crystal system is cubic. The value obtained for the total moment is 0.00 μB per atom.

Entry 7:
Material: MnNiP2Cl
Method: DFT, PBE
State: optimized geometry

POSCAR file:
```
MnNiP2Cl
1.0
4.3353 0.0000 0.0000
0.0000 4.3353 0.0000
0.0000 0.0000 4.6220
P Cl Mn Ni
2 1 1 1
Direct
0.0000 0.5000 0.0000
0.5000 0.0000 0.0000
0.0000 0.0000 0.5000
0.5000 0.5000 0.5000
0.0000 0.0000 0.0000
```

## Properties
The space group is No. 123. As for the energy: -22.80 eV per cell. The crystal system is tetragonal. The value obtained for the excess energy over the best structure of this formula in the dataset is 327.1 meV per atom. The value obtained for the total moment is 0.01 μB per atom.

Entry 8:
Material: Ce2Mg4N5
Method: DFT, PBE
State: optimized geometry

POSCAR file:
```
Ce2Mg4N5
1.0
3.5153 0.0000 0.4287
1.7315 3.0593 0.4287
-0.0172 -0.0100 14.7701
N Mg Ce
5 4 2
Direct
0.5000 0.5000 0.5000
0.6371 0.6371 0.0887
0.7689 0.7689 0.6934
0.3629 0.3629 0.9113
0.2311 0.2311 0.3066
0.3120 0.3120 0.0640
0.6880 0.6880 0.9360
0.5919 0.5919 0.2242
0.4081 0.4081 0.7758
0.1326 0.1326 0.6021
0.8674 0.8674 0.3979
```

## Properties
The space group is No. 166. As for the energy: -69.95 eV per cell. The crystal system is trigonal. The value obtained for the total moment is 0.09 μB per atom.